Record 1
Density functional theory data (PBE) for crystalline SnH at its relaxed geometry.

POSCAR file:
```
SnH
1.0
-2.069 1.976 0.991
-1.516 -0.280 -2.606
-2.115 -2.993 1.552
Sn H
1 1
direct
0.000 0.000 0.500
0.000 0.000 0.000
```

Final energy   -6.75 eV per cell
Magnetic moment   0.000 μB/cell
D(E_F)   0.849 states/eV/f.u.
Theoretical density   5.45 g/cm³

***

Record 2
Density functional theory data (PBE) for crystalline HfTaN3 at its relaxed geometry.

POSCAR file:
```
HfTaN3
1.0
-4.760 -2.299 2.042
0.899 -4.546 -3.021
2.031 0.356 5.133
Hf Ta N
2 2 6
direct
0.500 0.667 0.333
0.000 0.667 0.333
0.000 0.000 0.000
0.500 0.000 0.000
0.750 0.324 0.193
0.750 0.869 0.676
0.750 0.807 0.131
0.250 0.807 0.676
0.250 0.324 0.131
0.250 0.869 0.193
```

Final energy   -105.64 eV per cell
Magnetic moment   0.000 μB/cell
D(E_F)   0.272 states/eV/f.u.
Theoretical density   8.88 g/cm³

***

- Which value of D(E_F) does entry 2 give?
  0.272 states/eV/f.u.